[1]
Entry from Alexandria: crystalline AlPIr2 at its relaxed geometry (GGA-PBE).

a = 2.9235 Å, b = 3.3131 Å, c = 5.7192 Å
α = 90.00°, β = 90.00°, γ = 90.00°
Positions (direct):
Ir  0.0000  0.0000  0.0024
P  0.5000  0.5000  0.2500
Al  0.5000  0.5000  0.7500
Ir  0.0000  0.0000  0.4976

Summary:
size of the total moment: 0.0 μB/cell
energy of formation from the pure elements: -0.357 eV per atom
energy relative to the lowest polymorph listed for this composition: 0.069 eV/atom
Fermi-level density of states: 1.69 states/eV/f.u.
V: 13.85 A^3/atom


[2]
Entry from Alexandria: crystalline CuSi at its relaxed geometry (GGA-PBE).

a = 4.2431 Å, b = 4.2431 Å, c = 4.2431 Å
α = 60.00°, β = 60.00°, γ = 60.00°
Positions (direct):
Cu  0.7500  0.7500  0.7500
Si  0.5000  0.5000  0.5000
Si  0.2500  0.2500  0.2500
Cu  0.0000  0.0000  0.0000

Summary:
size of the total moment: 0.0 μB/cell
raw formation energy: 344.8 meV per atom
Fermi-level density of states: 1.36 states/eV/f.u.
V: 13.50 A^3/atom


[3]
Entry from Alexandria: crystalline Li2YHgIr at its relaxed geometry (GGA-PBE).

a = 4.8128 Å, b = 5.2160 Å, c = 4.8128 Å
α = 90.00°, β = 90.00°, γ = 90.00°
Positions (direct):
Ir  0.0000  0.0000  0.0000
Y  0.0000  0.5000  0.0000
Li  0.5000  0.0000  0.0000
Li  0.0000  0.0000  0.5000
Hg  0.5000  0.5000  0.5000

Summary:
size of the total moment: 0.0 μB/cell
energy of formation from the pure elements: -0.023 eV per atom
Fermi-level density of states: 3.20 states/eV/f.u.
V: 24.16 A^3/atom


[4]
Entry from Alexandria: crystalline BaTbZnHg at its relaxed geometry (GGA-PBE).

a = 5.5234 Å, b = 5.5234 Å, c = 5.5234 Å
α = 60.00°, β = 60.00°, γ = 60.00°
Positions (direct):
Zn  0.0000  0.0000  0.0000
Ba  0.2500  0.2500  0.2500
Tb  0.7500  0.7500  0.7500
Hg  0.5000  0.5000  0.5000

Summary:
size of the total moment: 0.0 μB/cell
energy of formation from the pure elements: -0.224 eV per atom
Fermi-level density of states: 2.10 states/eV/f.u.
V: 29.79 A^3/atom


[5]
Entry from Alexandria: crystalline PrHoMgRu at its relaxed geometry (GGA-PBE).

a = 3.4467 Å, b = 3.4467 Å, c = 8.6163 Å
α = 90.00°, β = 90.00°, γ = 90.00°
Positions (direct):
Mg  0.0000  0.0000  0.0819
Ru  0.0000  0.0000  0.5583
Ho  0.5000  0.5000  0.3747
Pr  0.5000  0.5000  0.7697

Summary:
size of the total moment: 0.0 μB/cell
energy of formation from the pure elements: -0.200 eV per atom
energy relative to the lowest polymorph listed for this composition: 0.000 eV/atom
Fermi-level density of states: 3.65 states/eV/f.u.
V: 25.59 A^3/atom


[6]
Entry from Alexandria: crystalline NaBe2CBr at its relaxed geometry (GGA-PBE).

a = 4.4192 Å, b = 4.9907 Å, c = 4.4192 Å
α = 90.00°, β = 90.00°, γ = 90.00°
Positions (direct):
Na  0.0000  0.5000  0.0000
Br  0.0000  0.0000  0.0000
Be  0.5000  0.0000  0.0000
C  0.5000  0.5000  0.5000
Be  0.0000  0.0000  0.5000

Summary:
size of the total moment: 0.0 μB/cell
raw formation energy: 2036.1 meV per atom
Fermi-level density of states: 2.18 states/eV/f.u.
V: 19.49 A^3/atom


[7]
Entry from Alexandria: crystalline SiRu at its relaxed geometry (GGA-PBE).

a = 2.8135 Å, b = 2.8135 Å, c = 8.0005 Å
α = 90.00°, β = 90.00°, γ = 120.00°
Positions (direct):
Si  0.0000  0.0000  0.4943
Ru  0.6667  0.3333  0.2619
Si  0.6667  0.3333  0.7557
Ru  0.0000  0.0000  0.9881

Summary:
size of the total moment: 0.0 μB/cell
raw formation energy: -40.2 meV per atom
Fermi-level density of states: 1.09 states/eV/f.u.
V: 13.71 A^3/atom


[8]
Entry from Alexandria: crystalline Zn2HgOs at its relaxed geometry (GGA-PBE).

a = 3.2131 Å, b = 3.2131 Å, c = 6.2934 Å
α = 90.00°, β = 90.00°, γ = 90.00°
Positions (direct):
Hg  0.0000  0.0000  0.4981
Os  0.5000  0.5000  0.7964
Zn  0.0000  0.0000  0.9874
Zn  0.5000  0.5000  0.2181

Summary:
size of the total moment: 0.0 μB/cell
energy of formation from the pure elements: 0.454 eV per atom
Fermi-level density of states: 3.21 states/eV/f.u.
V: 16.24 A^3/atom


[9]
Entry from Alexandria: crystalline MgTlRe at its relaxed geometry (GGA-PBE).

a = 4.8229 Å, b = 4.8229 Å, c = 2.8613 Å
α = 90.00°, β = 90.00°, γ = 120.00°
Positions (direct):
Mg  0.0000  0.0000  0.9999
Re  0.6667  0.3333  0.5003
Tl  0.3333  0.6667  0.4998

Summary:
size of the total moment: 0.0 μB/cell
energy of formation from the pure elements: 0.721 eV per atom
energy relative to the lowest polymorph listed for this composition: 0.056 eV/atom
Fermi-level density of states: 2.64 states/eV/f.u.
V: 19.21 A^3/atom


[10]
Entry from Alexandria: crystalline NdTh2OsN4 at its relaxed geometry (GGA-PBE).

a = 3.4722 Å, b = 6.3489 Å, c = 12.0288 Å
α = 90.00°, β = 90.00°, γ = 105.87°
Positions (direct):
Nd  0.1110  0.2221  0.7500
N  0.0000  0.0000  0.5000
N  0.2753  0.5505  0.1272
Th  0.6315  0.2630  0.4480
N  0.2753  0.5505  0.3728
Nd  0.8890  0.7779  0.2500
N  0.7247  0.4495  0.6272
N  0.7247  0.4495  0.8728
Th  0.3685  0.7370  0.5520
Os  0.1508  0.3017  0.2500
Th  0.3685  0.7370  0.9480
Os  0.8492  0.6983  0.7500
N  0.0000  0.0000  0.0000
Th  0.6315  0.2630  0.0520
N  0.4539  0.9079  0.7500
N  0.5461  0.0921  0.2500

Summary:
size of the total moment: 0.0 μB/cell
raw formation energy: -985.6 meV per atom
Fermi-level density of states: 3.87 states/eV/f.u.
V: 15.94 A^3/atom


[11]
Entry from Alexandria: crystalline Ca6Mo7 at its relaxed geometry (GGA-PBE).

a = 11.2510 Å, b = 11.2510 Å, c = 11.2510 Å
α = 28.84°, β = 28.84°, γ = 28.84°
Positions (direct):
Mo  0.0992  0.5963  0.5963
Mo  0.4037  0.4037  0.9008
Mo  0.9008  0.4037  0.4037
Ca  0.3307  0.3307  0.3307
Ca  0.1511  0.1511  0.1511
Ca  0.8489  0.8489  0.8489
Ca  0.6693  0.6693  0.6693
Mo  0.5963  0.5963  0.0992
Ca  0.9468  0.9468  0.9468
Mo  0.5963  0.0992  0.5963
Mo  0.5000  0.5000  0.5000
Ca  0.0532  0.0532  0.0532
Mo  0.4037  0.9008  0.4037

Summary:
size of the total moment: 0.0 μB/cell
energy of formation from the pure elements: 0.571 eV per atom
Fermi-level density of states: 12.77 states/eV/f.u.
V: 22.54 A^3/atom


[12]
Entry from Alexandria: crystalline Ac4CePu3Se8 at its relaxed geometry (GGA-PBE).

a = 8.6029 Å, b = 8.6893 Å, c = 8.6021 Å
α = 119.66°, β = 120.00°, γ = 90.00°
Site moments in Bohr magnetons follow the coordinates.
Positions (direct):
Se  0.7555  0.2699  0.5111  -0.04
Ac  0.5000  0.0000  0.0000  0.04
Se  0.7555  0.2701  0.0145  -0.04
Pu  0.0000  0.5000  0.5000  5.48
Se  0.2573  0.2719  0.5146  -0.05
Se  0.7427  0.7281  0.4854  -0.05
Se  0.7410  0.7299  0.9855  -0.04
Se  0.2590  0.2701  0.0145  -0.04
Ac  0.0000  0.0000  0.0000  0.02
Pu  0.5000  0.5000  0.5000  5.48
Ac  0.0000  0.0000  0.5000  0.02
Ac  0.5000  0.0000  0.5000  0.02
Se  0.2445  0.7301  0.4889  -0.04
Se  0.2445  0.7299  0.9855  -0.04
Ce  0.0000  0.5000  0.0000  0.89
Pu  0.5000  0.5000  0.0000  5.48

Summary:
size of the total moment: 18.7 μB/cell
raw formation energy: -1724.7 meV per atom
Fermi-level density of states: 34.37 states/eV/f.u.
V: 28.56 A^3/atom


[13]
Entry from Alexandria: crystalline SmY2Co at its relaxed geometry (GGA-PBE).

a = 3.7286 Å, b = 3.7286 Å, c = 9.5806 Å
α = 78.78°, β = 78.78°, γ = 60.00°
Positions (direct):
Y  0.7231  0.7231  0.8308
Y  0.2769  0.2769  0.1692
Sm  0.5000  0.5000  0.5000
Co  0.0000  0.0000  0.0000

Summary:
size of the total moment: 0.0 μB/cell
energy of formation from the pure elements: 0.025 eV per atom
energy relative to the lowest polymorph listed for this composition: 0.158 eV/atom
Fermi-level density of states: 4.35 states/eV/f.u.
V: 28.10 A^3/atom


[14]
Entry from Alexandria: crystalline CrCuAg at its relaxed geometry (GGA-PBE).

a = 4.2400 Å, b = 4.2400 Å, c = 4.2400 Å
α = 60.00°, β = 60.00°, γ = 60.00°
Site moments in Bohr magnetons follow the coordinates.
Positions (direct):
Cu  0.7500  0.7500  0.7500  0.09
Ag  0.0000  0.0000  0.0000  0.04
Cr  0.5000  0.5000  0.5000  3.71

Summary:
size of the total moment: 4.3 μB/cell
energy of formation from the pure elements: 0.623 eV per atom
energy relative to the lowest polymorph listed for this composition: 0.223 eV/atom
Fermi-level density of states: 0.92 states/eV/f.u.
V: 17.97 A^3/atom


[15]
Entry from Alexandria: crystalline KHfAgI6 at its relaxed geometry (GGA-PBE).

a = 7.7475 Å, b = 7.7475 Å, c = 15.3120 Å
α = 90.00°, β = 90.00°, γ = 120.00°
Positions (direct):
Ag  0.6667  0.3333  0.7500
I  0.9794  0.6201  0.3587
I  0.3799  0.0206  0.1413
K  0.0000  0.0000  0.5000
I  0.6201  0.6408  0.6413
Hf  0.6667  0.3333  0.2500
I  0.0206  0.6408  0.8587
I  0.6201  0.9794  0.8587
I  0.6408  0.0206  0.3587
Ag  0.3333  0.6667  0.2500
K  0.0000  0.0000  0.0000
Hf  0.3333  0.6667  0.7500
I  0.3592  0.3799  0.8587
I  0.6408  0.6201  0.1413
I  0.3592  0.9794  0.6413
I  0.3799  0.3592  0.3587
I  0.0206  0.3799  0.6413
I  0.9794  0.3592  0.1413

Summary:
size of the total moment: 0.0 μB/cell
raw formation energy: -853.9 meV per atom
Fermi-level density of states: 0.00 states/eV/f.u.
V: 44.22 A^3/atom


[16]
Entry from Alexandria: crystalline NbFeSb2I at its relaxed geometry (GGA-PBE).

a = 4.8329 Å, b = 4.8329 Å, c = 5.5082 Å
α = 90.00°, β = 90.00°, γ = 90.00°
Site moments in Bohr magnetons follow the coordinates.
Positions (direct):
Sb  0.0000  0.5000  0.0000  -0.07
I  0.0000  0.0000  0.5000  -0.06
Sb  0.5000  0.0000  0.0000  -0.07
Fe  0.0000  0.0000  0.0000  1.18
Nb  0.5000  0.5000  0.5000  2.59

Summary:
size of the total moment: 4.3 μB/cell
raw formation energy: 901.3 meV per atom
energy relative to the lowest polymorph listed for this composition: 0.000 eV/atom
Fermi-level density of states: 4.88 states/eV/f.u.
V: 25.73 A^3/atom


[17]
Entry from Alexandria: crystalline HfFeB2 at its relaxed geometry (GGA-PBE).

a = 3.8881 Å, b = 3.8881 Å, c = 3.8881 Å
α = 60.00°, β = 60.00°, γ = 60.00°
Positions (direct):
B  0.7500  0.7500  0.7500
B  0.2500  0.2500  0.2500
Hf  0.5000  0.5000  0.5000
Fe  0.0000  0.0000  0.0000

Summary:
size of the total moment: 0.0 μB/cell
energy of formation from the pure elements: 0.041 eV per atom
energy relative to the lowest polymorph listed for this composition: 0.734 eV/atom
Fermi-level density of states: 0.73 states/eV/f.u.
V: 10.39 A^3/atom


[18]
Entry from Alexandria: crystalline Co2AsPb at its relaxed geometry (GGA-PBE).

a = 4.6801 Å, b = 4.6801 Å, c = 4.6801 Å
α = 133.66°, β = 111.12°, γ = 87.10°
Positions (direct):
Co  0.4484  0.4484  0.0000
As  0.2500  0.7500  0.5000
Pb  0.7500  0.2500  0.5000
Co  0.0516  0.0516  0.0000

Summary:
size of the total moment: 0.1 μB/cell
energy of formation from the pure elements: 0.381 eV per atom
energy relative to the lowest polymorph listed for this composition: 0.267 eV/atom
Fermi-level density of states: 4.30 states/eV/f.u.
V: 16.53 A^3/atom


[19]
Entry from Alexandria: crystalline Ca2GaCu5Pd2 at its relaxed geometry (GGA-PBE).

a = 3.7090 Å, b = 9.5540 Å, c = 9.5540 Å
α = 90.00°, β = 90.00°, γ = 90.00°
Positions (direct):
Ga  0.0000  0.0000  0.0000
Cu  0.5000  0.8111  0.9452
Cu  0.5000  0.5000  0.0000
Ga  0.0000  0.5000  0.5000
Cu  0.5000  0.6889  0.4452
Ca  0.0000  0.8281  0.6719
Pd  0.0000  0.3710  0.1290
Cu  0.5000  0.1889  0.0548
Cu  0.5000  0.0548  0.8111
Pd  0.0000  0.8710  0.3710
Cu  0.5000  0.3111  0.5548
Ca  0.0000  0.6719  0.1719
Pd  0.0000  0.6290  0.8710
Ca  0.0000  0.1719  0.3281
Cu  0.5000  0.9452  0.1889
Ca  0.0000  0.3281  0.8281
Cu  0.5000  0.5548  0.6889
Pd  0.0000  0.1290  0.6290
Cu  0.5000  0.0000  0.5000
Cu  0.5000  0.4452  0.3111

Summary:
size of the total moment: 0.0 μB/cell
energy of formation from the pure elements: -0.228 eV per atom
Fermi-level density of states: 2.56 states/eV/f.u.
V: 16.93 A^3/atom


[20]
Entry from Alexandria: crystalline POsPb at its relaxed geometry (GGA-PBE).

a = 6.7838 Å, b = 6.7838 Å, c = 6.7838 Å
α = 154.11°, β = 154.11°, γ = 36.93°
Positions (direct):
P  0.6183  0.6183  0.0000
Pb  0.3499  0.3499  0.0000
Os  0.0317  0.0317  0.0000

Summary:
size of the total moment: 0.0 μB/cell
energy of formation from the pure elements: 0.162 eV per atom
Fermi-level density of states: 1.49 states/eV/f.u.
V: 19.81 A^3/atom


[21]
Entry from Alexandria: crystalline PuURhAu at its relaxed geometry (GGA-PBE).

a = 4.7523 Å, b = 4.7523 Å, c = 4.7523 Å
α = 60.00°, β = 60.00°, γ = 60.00°
Site moments in Bohr magnetons follow the coordinates.
Positions (direct):
U  0.0000  0.0000  0.0000  1.41
Rh  0.7500  0.7500  0.7500  -0.10
Au  0.5000  0.5000  0.5000  -0.03
Pu  0.2500  0.2500  0.2500  4.84

Summary:
size of the total moment: 6.1 μB/cell
energy of formation from the pure elements: -0.424 eV per atom
Fermi-level density of states: 5.75 states/eV/f.u.
V: 18.97 A^3/atom


[22]
Entry from Alexandria: crystalline K2BaSrRu at its relaxed geometry (GGA-PBE).

a = 6.8768 Å, b = 5.1303 Å, c = 6.8768 Å
α = 90.00°, β = 90.00°, γ = 90.00°
Positions (direct):
Ru  0.0000  0.5000  0.0000
Sr  0.0000  0.0000  0.0000
K  0.5000  0.0000  0.0000
Ba  0.5000  0.5000  0.5000
K  0.0000  0.0000  0.5000

Summary:
size of the total moment: 0.0 μB/cell
energy of formation from the pure elements: 0.904 eV per atom
Fermi-level density of states: 3.89 states/eV/f.u.
V: 48.52 A^3/atom


[23]
Entry from Alexandria: crystalline AcTb3Ru at its relaxed geometry (GGA-PBE).

a = 5.4922 Å, b = 5.4922 Å, c = 5.4922 Å
α = 90.00°, β = 90.00°, γ = 90.00°
Positions (direct):
Tb  0.0000  0.0000  0.5000
Tb  0.0000  0.5000  0.0000
Tb  0.5000  0.0000  0.0000
Ru  0.0000  0.0000  0.0000
Ac  0.5000  0.5000  0.5000

Summary:
size of the total moment: 0.0 μB/cell
energy of formation from the pure elements: -0.103 eV per atom
Fermi-level density of states: 7.99 states/eV/f.u.
V: 33.13 A^3/atom


[24]
Entry from Alexandria: crystalline TaIr3F at its relaxed geometry (GGA-PBE).

a = 4.2439 Å, b = 4.2439 Å, c = 4.2439 Å
α = 90.00°, β = 90.00°, γ = 90.00°
Positions (direct):
F  0.0000  0.0000  0.0000
Ir  0.0000  0.0000  0.5000
Ta  0.5000  0.5000  0.5000
Ir  0.0000  0.5000  0.0000
Ir  0.5000  0.0000  0.0000

Summary:
size of the total moment: 0.0 μB/cell
raw formation energy: 855.5 meV per atom
energy relative to the lowest polymorph listed for this composition: 0.000 eV/atom
Fermi-level density of states: 6.66 states/eV/f.u.
V: 15.29 A^3/atom


[25]
Entry from Alexandria: crystalline AlPtSe2 at its relaxed geometry (GGA-PBE).

a = 6.6873 Å, b = 6.6873 Å, c = 6.6873 Å
α = 146.52°, β = 147.55°, γ = 47.32°
Positions (direct):
Se  0.3934  0.3934  0.0000
Se  0.1066  0.1066  0.0000
Al  0.7500  0.2500  0.5000
Pt  0.2500  0.7500  0.5000

Summary:
size of the total moment: 0.0 μB/cell
raw formation energy: -479.2 meV per atom
Fermi-level density of states: 1.62 states/eV/f.u.
V: 22.05 A^3/atom


[26]
Entry from Alexandria: crystalline Te3Ru5 at its relaxed geometry (GGA-PBE).

a = 7.9663 Å, b = 7.9663 Å, c = 5.2710 Å
α = 90.00°, β = 90.00°, γ = 120.00°
Site moments in Bohr magnetons follow the coordinates.
Positions (direct):
Te  0.0000  0.2917  0.7500  0.00
Te  0.7083  0.0000  0.2500  0.00
Te  0.2917  0.0000  0.7500  0.00
Ru  0.6667  0.3333  0.0000  0.30
Te  0.2917  0.2917  0.2500  0.00
Te  0.0000  0.7083  0.2500  0.00
Ru  0.3333  0.6667  0.0000  0.30
Ru  0.6667  0.3333  0.5000  0.30
Ru  0.3821  0.3821  0.7500  0.00
Te  0.7083  0.7083  0.7500  0.00
Ru  0.6179  0.6179  0.2500  0.00
Ru  0.0000  0.6179  0.7500  0.00
Ru  0.3333  0.6667  0.5000  0.30
Ru  0.0000  0.3821  0.2500  0.00
Ru  0.3821  0.0000  0.2500  0.00
Ru  0.6179  0.0000  0.7500  0.00

Summary:
size of the total moment: 1.2 μB/cell
raw formation energy: 219.2 meV per atom
energy relative to the lowest polymorph listed for this composition: 0.000 eV/atom
Fermi-level density of states: 7.44 states/eV/f.u.
V: 18.11 A^3/atom